# 1
Entry from Alexandria via LeMat-Bulk: a relaxed MnP2RuS crystal (GGA-PBE).

POSCAR file:
```
MnP2RuS
1.0
-0.656 -3.810 -2.110
1.088 -2.210 3.651
-5.048 0.027 1.521
Ru S Mn P
1 1 1 2
Direct
0.000 0.000 0.000 Ru
0.000 0.000 0.500 S
0.500 0.500 0.500 Mn
0.000 0.500 0.000 P
0.500 0.000 0.000 P
```

Values from the calculation:
ΔE to the lowest computed polymorph ... 0.000 eV per atom
Spin magnetization ... 4.6 μB per formula unit
Space group ... P4/mmm, No. 123
Calculated total energy ... -6.07 eV per atom

=====

# 2
Entry from Alexandria via LeMat-Bulk: a relaxed YBe2P crystal (GGA-PBE).

POSCAR file:
```
YBe2P
1.0
-3.589 0.526 -0.879
-1.091 -1.042 3.830
0.301 4.015 1.178
Y P Be
1 1 2
Direct
0.500 0.750 0.750 Y
0.500 0.250 0.250 P
0.000 0.250 0.989 Be
0.000 0.250 0.511 Be
```

Values from the calculation:
Spin magnetization ... 0.0 μB per formula unit
Space group ... Pmmm, No. 47
Energy relative to the elements ... -0.38 eV/atom
Calculated total energy ... -5.22 eV per atom

=====

# 3
Entry from Alexandria via LeMat-Bulk: a relaxed Tl5Zn crystal (GGA-PBE).

POSCAR file:
```
Tl5Zn
1.0
3.126 -5.415 0.000
3.126 5.415 0.000
0.000 0.000 5.964
Tl Zn
5 1
Direct
0.333 0.667 0.000 Tl
0.667 0.333 0.000 Tl
0.500 0.000 0.500 Tl
0.000 0.500 0.500 Tl
0.500 0.500 0.500 Tl
0.000 0.000 0.000 Zn
```

Values from the calculation:
ΔE to the lowest computed polymorph ... 0.198 eV per atom
Spin magnetization ... 0.0 μB per formula unit
Space group ... P6/mmm, No. 191
Energy relative to the elements ... 0.26 eV/atom
Calculated total energy ... -1.92 eV per atom

=====

# 4
Entry from Alexandria via LeMat-Bulk: a relaxed TiVFeTc crystal (GGA-PBE).

POSCAR file:
```
TiVFeTc
1.0
-1.303 1.636 2.157
-3.086 -2.836 0.286
2.217 -2.115 2.943
Ti V Fe Tc
1 1 1 1
Direct
0.000 0.500 0.500 Ti
0.000 0.000 0.000 V
0.500 0.000 0.500 Fe
0.500 0.500 0.000 Tc
```

Values from the calculation:
ΔE to the lowest computed polymorph ... 0.022 eV per atom
Spin magnetization ... 0.0 μB per formula unit
Space group ... Pmmm, No. 47
Energy relative to the elements ... -0.35 eV/atom
Calculated total energy ... -9.31 eV per atom

=====

| no. | mass density (Mg/m³) |
| --- | --- |
| 1 | 4.06 |
| 2 | 3.55 |
| 3 | 8.94 |
| 4 | 7.82 |